4
Lattice="4.9173 -0.0028 -0.0174 -2.0137 4.4861 -0.0174 0.0105 0.0163 2.6826" Properties=species:S:1:pos:R:3 comment="CoAgMo2, optimized geometry, DFT PBE-GGA" density_g_cm3=10.1 e_form_ev_per_atom=0.439 dos_at_fermi_per_ev_cell=4.49 spacegroup="No. 65" pbc="T T T"
Ag 2.4639 0.0067 1.3326
Co -1.0016 2.2512 1.3326
Mo 0.0000 0.0000 0.0000
Mo 1.4518 2.2416 -0.0174

***

14
Lattice="6.0678 0.0000 0.0000 -3.0339 5.2549 0.0000 0.0000 0.0000 8.2357" Properties=species:S:1:pos:R:3 comment="Ba3NpHg2O8, optimized geometry, DFT PBE-GGA" density_g_cm3=7.5 e_form_raw_mev_per_atom=-2019.9 spacegroup="No. 164" pbc="T T T"
Ba 0.0000 3.5032 5.1905
Ba 3.0339 1.7516 3.0452
Ba 0.0000 0.0000 0.0000
Np 0.0000 0.0000 4.1179
Hg 0.0000 3.5032 1.4276
Hg 3.0339 1.7516 6.8081
O 0.0000 3.5032 7.6247
O 3.0339 1.7516 0.6110
O -1.5804 4.4157 2.9116
O 4.6143 0.8392 5.3242
O 0.0000 1.6783 2.9116
O 3.0339 3.5765 5.3242
O 1.5804 4.4157 2.9116
O 1.4535 0.8392 5.3242

***

10
Lattice="-1.9545 1.4268 4.2853 1.2963 -4.2957 2.0215 10.7860 4.8153 3.3162" Properties=species:S:1:pos:R:3 comment="Rb2PmSb4Au3, optimized geometry, DFT PBE-GGA" density_g_cm3=7.8 e_form_raw_mev_per_atom=-453.4 dos_at_fermi_per_ev_cell=2.39 spacegroup="No. 115" pbc="T T T"
Rb 1.6222 1.8739 2.9419
Rb 8.8347 1.5070 3.5277
Pm 5.0639 0.9732 4.8115
Sb -0.3291 -1.4345 3.1534
Sb 0.0000 0.0000 0.0000
Sb 5.9950 3.8261 4.2863
Sb 4.4619 -0.4452 2.1833
Au 5.3930 2.4077 1.6581
Au 8.5030 4.9458 5.0574
Au 1.9539 -1.5649 1.4122

***

4
Lattice="2.9931 0.0000 0.0000 0.0000 2.9931 0.0000 0.0000 0.0000 6.2846" Properties=species:S:1:pos:R:3 comment="Be2PCl, optimized geometry, DFT PBE-GGA" density_g_cm3=2.5 e_form_raw_mev_per_atom=383.1 dos_at_fermi_per_ev_cell=1.73 spacegroup="No. 123" pbc="T T T"
P 1.4965 1.4965 4.7134
Be 0.0000 0.0000 5.8521
Be 0.0000 0.0000 3.5748
Cl 1.4965 1.4965 1.5711